No. 1
# CuRu3O12

A relaxed CuRu3O12 crystal (GGA-PBE, the Alexandria database).

abc: 8.6709 8.6709 27.8235
angles: 90.00 90.00 120.00
Space group R3c (No. 161, hexagonal axes)
Inequivalent atoms, fractional coordinates:
Cu 0.0000 0.0000 0.0000 (multiplicity 6)
Ru 0.0394 0.3499 0.0804 (multiplicity 18)
O 0.0503 0.5211 0.0465 (multiplicity 18)
O 0.0598 0.5052 0.4362 (multiplicity 18)
O 0.0956 0.2193 0.0446 (multiplicity 18)
O 0.1921 0.4382 0.1281 (multiplicity 18)

Results
Uncorrected formation energy   -0.64 eV per atom
Energy   -6.351 eV per atom

***

No. 2
# Tl3BiRu2O9

A relaxed Tl3BiRu2O9 crystal (GGA-PBE, the Alexandria database).

abc: 5.8307 5.8307 7.2731
angles: 90.00 90.00 120.00
Space group P-3m1 (No. 164)
Inequivalent atoms, fractional coordinates:
Tl 0.0000 0.0000 0.0000 (multiplicity 1)
Tl 0.3333 0.6667 0.6592 (multiplicity 2)
Bi 0.0000 0.0000 0.5000 (multiplicity 1)
Ru 0.3333 0.6667 0.1489 (multiplicity 2)
O 0.0000 0.5000 0.0000 (multiplicity 3)
O 0.1806 0.3611 0.3034 (multiplicity 6)

Results
Uncorrected formation energy   -0.77 eV per atom
Energy   -5.713 eV per atom

***

No. 3
# Ac3Mg2Ir3

A relaxed Ac3Mg2Ir3 crystal (GGA-PBE, the Alexandria database).

abc: 8.7180 8.7180 6.0547
angles: 90.00 90.00 120.00
Space group P6_3/mcm (No. 193)
Inequivalent atoms, fractional coordinates:
Ac 0.0000 0.2746 0.2500 (multiplicity 6)
Mg 0.3333 0.6667 0.0000 (multiplicity 4)
Ir 0.0000 0.3925 0.7500 (multiplicity 6)

Results
Energy   -5.721 eV per atom
Energy relative to the elements   -459 meV/atom

***

What is the energy in the third record?
-5.721 eV per atom